Record 1
Computed, not measured: an optimized crystal structure of LaLuZnCd at the PBE-GGA level of DFT.

Values from the calculation:
* V: 26.094 Å³/atom
* formation enthalpy at 0 K: -1.13 eV per formula unit

a b c (Å): 5.2849 5.2849 5.2849
angles (deg): 60.00 60.00 60.00
Element x y z (fractional)
Lu1 0.5000 0.5000 0.5000
Cd1 0.7500 0.7500 0.7500
La1 0.0000 0.0000 0.0000
Zn1 0.2500 0.2500 0.2500

***

Record 2
Computed, not measured: an optimized crystal structure of AsRuCl2 at the PBE-GGA level of DFT.

Values from the calculation:
* ΔE to the lowest computed polymorph: 0.370 eV per atom
* E_form (uncorrected): 0.2 eV per formula unit
* V: 23.820 Å³/atom

a b c (Å): 7.5356 7.5356 7.5356
angles (deg): 156.78 145.54 41.97
Element x y z (fractional)
Cl1 0.3872 0.3872 0.0000
Cl2 0.1128 0.1128 0.0000
As1 0.7500 0.2500 0.5000
Ru1 0.2500 0.7500 0.5000